Be2AlTc | PBE | optimized geometry

Structure (POSCAR):
```
Be2AlTc
1.0
3.336 -0.020 0.026
0.023 3.175 -0.544
-0.042 -0.897 4.388
Be Al Tc
2 1 1
Direct
0.752 0.433 0.111
0.253 0.579 0.401
0.252 0.853 0.950
0.753 0.145 0.531
```

Summary:
**Fermi-level density of states**: 0.98 states/eV/cell
**ΔH_f (0 K)**: -154 meV per atom